Entry 1:
Computed, not measured: crystalline AlFeCl2 at its relaxed geometry at the GGA-PBE level of DFT.

As for the total energy: -4.077 eV/atom. The value obtained for the formation energy without anion corrections is -0.102 eV per atom.

The space group is Cmmm (No. 65) and the conventional cell measures 3.276, 5.798 and 8.874 Å, with angles of 90.00, 90.00 and 90.00 degrees. The asymmetric unit holds Al at (0.000, 0.000, 0.000), Fe at (0.000, 0.000, 0.500) and Cl at (0.000, 0.500, 0.305).

***

Entry 2:
Computed, not measured: crystalline LaPm2Cd at its relaxed geometry at the GGA-PBE level of DFT.

As for the total energy: -3.839 eV/atom. The energy of formation from the pure elements comes out at 0.00 eV per atom.

The space group is Fm-3m (No. 225) and the conventional cell measures 7.874, 7.874 and 7.874 Å, with angles of 90.00, 90.00 and 90.00 degrees. The asymmetric unit holds La at (0.000, 0.000, 0.000), Pm at (0.250, 0.250, 0.250) and Cd at (0.000, 0.000, 0.500).

***

Entry 3:
Computed, not measured: crystalline NdCd12 at its relaxed geometry at the GGA-PBE level of DFT.

As for the total energy: -1.329 eV/atom. The energy of formation from the pure elements comes out at -0.12 eV per atom.

The space group is I4/mmm (No. 139) and the conventional cell measures 9.966, 9.966 and 6.011 Å, with angles of 90.00, 90.00 and 90.00 degrees. The asymmetric unit holds Nd at (0.000, 0.000, 0.000), Cd at (0.000, 0.213, 0.500), Cd at (0.000, 0.351, 0.000) and Cd at (0.250, 0.250, 0.250).

***

Entry 4:
Computed, not measured: crystalline La5ErTm3 at its relaxed geometry at the GGA-PBE level of DFT.

As for the total energy: -4.487 eV/atom. The energy of formation from the pure elements comes out at 0.25 eV per atom.

The space group is C2/c (No. 15) and the conventional cell measures 19.049, 6.535 and 11.569 Å, with angles of 90.00, 116.98 and 90.00 degrees. The asymmetric unit holds La at (0.000, 0.102, 0.250), La at (0.162, 0.191, 0.710), La at (0.177, 0.324, 0.359), Er at (0.000, 0.376, 0.750), Tm at (0.000, 0.500, 0.000) and Tm at (0.160, 0.219, 0.014).

***

Entry 5:
Computed, not measured: crystalline CuPbBr4 at its relaxed geometry at the GGA-PBE level of DFT.

As for the total energy: -2.932 eV/atom. The value obtained for the formation energy without anion corrections is -0.516 eV per atom.

The space group is I-4 (No. 82) and the conventional cell measures 7.193, 7.193 and 7.760 Å, with angles of 90.00, 90.00 and 90.00 degrees. The asymmetric unit holds Cu at (0.000, 0.000, 0.000), Pb at (0.000, 0.500, 0.250) and Br at (0.237, 0.240, 0.999).

***

Entry 6:
Computed, not measured: crystalline Ta2NiOs at its relaxed geometry at the GGA-PBE level of DFT.

As for the total energy: -9.991 eV/atom. The energy of formation from the pure elements comes out at 0.19 eV per atom.

The space group is R3m (No. 160, hexagonal axes) and the conventional cell measures 2.7932, 2.7932 and 27.7919 Å, with angles of 90.00, 90.00 and 120.00 degrees. The asymmetric unit holds Ta at (0.0000, 0.0000, 0.0000), Ta at (0.0000, 0.0000, 0.2380), Ni at (0.0000, 0.0000, 0.7446) and Os at (0.0000, 0.0000, 0.4871).

***

Please write out number 4 again, unchanged.
Computed, not measured: crystalline La5ErTm3 at its relaxed geometry at the GGA-PBE level of DFT.

As for the total energy: -4.487 eV/atom. The energy of formation from the pure elements comes out at 0.25 eV per atom.

The space group is C2/c (No. 15) and the conventional cell measures 19.049, 6.535 and 11.569 Å, with angles of 90.00, 116.98 and 90.00 degrees. The asymmetric unit holds La at (0.000, 0.102, 0.250), La at (0.162, 0.191, 0.710), La at (0.177, 0.324, 0.359), Er at (0.000, 0.376, 0.750), Tm at (0.000, 0.500, 0.000) and Tm at (0.160, 0.219, 0.014).